First-principles (GGA-PBE) data for a geometry-optimized Pa6FeSe5 structure, as listed in Alexandria.

Computed properties:
calculated volume	565.2	Å³ per cell
raw formation energy	-24.2	kcal/mol of atoms
E_tot	-7.95	eV per atom
mass density	10.792	g cm⁻³

abc: 7.081 12.146 6.989
angles: 90.00 109.89 90.00
Space group C2/m (No. 12)
Asymmetric unit:
Pa1 0.227 0.000 0.256 [4 per cell]
Pa2 0.228 0.153 0.729 [8 per cell]
Fe1 0.000 0.000 0.500 [2 per cell]
Se1 0.000 0.180 0.000 [4 per cell]
Se2 0.000 0.337 0.500 [4 per cell]
Se3 0.000 0.500 0.000 [2 per cell]

First-principles (GGA-PBE) data for a geometry-optimized Pa3FeSe2 structure, as listed in Alexandria.

Computed properties:
calculated volume	272.9	Å³ per cell
raw formation energy	-20.0	kcal/mol of atoms
E_tot	-8.19	eV per atom
mass density	11.036	g cm⁻³

abc: 4.087 4.087 16.339
angles: 90.00 90.00 90.00
Space group I4/mmm (No. 139)
Asymmetric unit:
Pa1 0.000 0.000 0.000 [2 per cell]
Pa2 0.000 0.000 0.353 [4 per cell]
Fe1 0.000 0.000 0.500 [2 per cell]
Se1 0.000 0.000 0.176 [4 per cell]

First-principles (GGA-PBE) data for a geometry-optimized Pa2FeSe3 structure, as listed in Alexandria.

Computed properties:
calculated volume	516.2	Å³ per cell
raw formation energy	-23.8	kcal/mol of atoms
E_tot	-7.35	eV per atom
mass density	9.713	g cm⁻³

abc: 11.307 3.974 11.487
angles: 90.00 90.00 90.00
Space group Pnma (No. 62)
Asymmetric unit:
Pa1 0.036 0.250 0.182 [4 per cell]
Pa2 0.204 0.250 0.514 [4 per cell]
Fe1 0.183 0.750 0.215 [4 per cell]
Se1 0.056 0.750 0.385 [4 per cell]
Se2 0.119 0.250 0.941 [4 per cell]
Se3 0.199 0.750 0.702 [4 per cell]

First-principles (GGA-PBE) data for a geometry-optimized Pa5FeSe4 structure, as listed in Alexandria.

Computed properties:
calculated volume	465.3	Å³ per cell
raw formation energy	-23.1	kcal/mol of atoms
E_tot	-7.99	eV per atom
mass density	10.899	g cm⁻³

abc: 9.005 9.005 5.738
angles: 90.00 90.00 90.00
Space group I4/m (No. 87)
Asymmetric unit:
Pa1 0.000 0.000 0.000 [2 per cell]
Pa2 0.097 0.272 0.500 [8 per cell]
Fe1 0.000 0.000 0.500 [2 per cell]
Se1 0.088 0.308 0.000 [8 per cell]

First-principles (GGA-PBE) data for a geometry-optimized PaFeSe2 structure, as listed in Alexandria.

Computed properties:
calculated volume	300.1	Å³ per cell
raw formation energy	-7.4	kcal/mol of atoms
E_tot	-6.55	eV per atom
mass density	7.384	g cm⁻³

abc: 3.6654 3.6654 25.7927
angles: 90.00 90.00 120.00
Space group R-3m (No. 166, hexagonal axes)
Asymmetric unit:
Pa1 0.0000 0.0000 0.0000 [3 per cell]
Fe1 0.0000 0.0000 0.5000 [3 per cell]
Se1 0.0000 0.0000 0.4090 [6 per cell]

First-principles (GGA-PBE) data for a geometry-optimized Pa4FeTe2Se structure, as listed in Alexandria.

Computed properties:
calculated volume	205.2	Å³ per cell
raw formation energy	-16.1	kcal/mol of atoms
E_tot	-7.73	eV per atom
mass density	10.637	g cm⁻³

abc: 7.237 3.948 7.528
angles: 90.00 107.50 90.00
Space group P2/m (No. 10)
Asymmetric unit:
Pa1 0.210 0.000 0.194 [2 per cell]
Pa2 0.246 0.500 0.787 [2 per cell]
Fe1 0.000 0.500 0.000 [1 per cell]
Te1 0.000 0.000 0.500 [1 per cell]
Te2 0.500 0.500 0.500 [1 per cell]
Se1 0.500 0.000 0.000 [1 per cell]

First-principles (GGA-PBE) data for a geometry-optimized Pa3Tl3FeSe8 structure, as listed in Alexandria.

Computed properties:
calculated volume	1372.4	Å³ per cell
raw formation energy	-20.0	kcal/mol of atoms
E_tot	-5.66	eV per atom
mass density	7.237	g cm⁻³

abc: 8.1190 8.1190 24.0420
angles: 90.00 90.00 120.00
Space group R-3m (No. 166, hexagonal axes)
Asymmetric unit:
Pa1 0.0000 0.5000 0.0000 [9 per cell]
Tl1 0.0000 0.5000 0.5000 [9 per cell]
Fe1 0.0000 0.0000 0.0000 [3 per cell]
Se1 0.0000 0.0000 0.2635 [6 per cell]
Se2 0.0110 0.5055 0.7318 [18 per cell]

First-principles (GGA-PBE) data for a geometry-optimized PaTlFeSe4 structure, as listed in Alexandria.

Computed properties:
calculated volume	367.4	Å³ per cell
raw formation energy	-18.0	kcal/mol of atoms
E_tot	-5.68	eV per atom
mass density	7.296	g cm⁻³

abc: 6.812 6.033 9.387
angles: 90.00 107.78 90.00
Space group P2_1/m (No. 11)
Asymmetric unit:
Pa1 0.236 0.250 0.443 [2 per cell]
Tl1 0.244 0.250 0.950 [2 per cell]
Fe1 0.244 0.750 0.664 [2 per cell]
Se1 0.059 0.750 0.841 [2 per cell]
Se2 0.063 0.750 0.402 [2 per cell]
Se3 0.486 0.510 0.298 [4 per cell]